This record from the Alexandria database describes YIO4 after structural relaxation. The functional is PBE.

Geometry as CIF:
```
data_YIO4
_cell_length_a 5.476
_cell_length_b 5.414
_cell_length_c 5.538
_cell_angle_alpha 90.00
_cell_angle_beta 96.90
_cell_angle_gamma 90.00
_symmetry_space_group_name_H-M 'P 1 21/c 1'
_symmetry_Int_Tables_number 14
loop_
_symmetry_equiv_pos_as_xyz
'x,y,z'
'-x,-y,-z'
'-x,y+1/2,-z+1/2'
'x,-y+1/2,z+1/2'
loop_
_atom_site_label
_atom_site_type_symbol
_atom_site_fract_x
_atom_site_fract_y
_atom_site_fract_z
Y1 Y 0.000 0.000 0.000
I1 I 0.500 0.000 0.500
O1 O 0.187 0.172 0.355
O2 O 0.324 0.699 0.277
```

## Properties
- density (Mg/m³) = 5.701
- E (eV for the cell shown) = -74.41
- ΔE_f (raw) (eV/f.u.) = -9.36



This record from the Alexandria database describes Dy3HgTe6 after structural relaxation. The functional is PBE.

Geometry as CIF:
```
data_Dy3HgTe6
_cell_length_a 11.915
_cell_length_b 15.100
_cell_length_c 7.307
_cell_angle_alpha 90.00
_cell_angle_beta 90.00
_cell_angle_gamma 90.00
_symmetry_space_group_name_H-M 'C m c 21'
_symmetry_Int_Tables_number 36
loop_
_symmetry_equiv_pos_as_xyz
'x,y,z'
'-x,-y,z+1/2'
'-x,y,z'
'x,-y,z+1/2'
'x+1/2,y+1/2,z'
'-x+1/2,-y+1/2,z+1/2'
'-x+1/2,y+1/2,z'
'x+1/2,-y+1/2,z+1/2'
loop_
_atom_site_label
_atom_site_type_symbol
_atom_site_fract_x
_atom_site_fract_y
_atom_site_fract_z
Dy1 Dy 0.000 0.096 0.000
Dy2 Dy 0.179 0.405 0.892
Hg1 Hg 0.000 0.287 0.363
Te1 Te 0.000 0.270 0.746
Te2 Te 0.000 0.466 0.193
Te3 Te 0.163 0.037 0.699
Te4 Te 0.186 0.228 0.141
```

## Properties
- density (Mg/m³) = 7.344
- Fermi-level density of states (states/eV/f.u.) = 7.02
- E (eV for the cell shown) = -171.66
- ΔE_f (raw) (eV/f.u.) = -9.96



This record from the Alexandria database describes PmYHo6 after structural relaxation. The functional is PBE.

Geometry as CIF:
```
data_PmYHo6
_cell_length_a 6.536
_cell_length_b 6.708
_cell_length_c 6.964
_cell_angle_alpha 118.75
_cell_angle_beta 104.26
_cell_angle_gamma 90.27
_symmetry_space_group_name_H-M 'P -1'
_symmetry_Int_Tables_number 2
loop_
_symmetry_equiv_pos_as_xyz
'x,y,z'
'-x,-y,-z'
loop_
_atom_site_label
_atom_site_type_symbol
_atom_site_fract_x
_atom_site_fract_y
_atom_site_fract_z
Pm1 Pm 0.000 0.000 0.000
Y1 Y 0.500 0.000 0.000
Ho1 Ho 0.230 0.905 0.479
Ho2 Ho 0.252 0.457 0.002
Ho3 Ho 0.271 0.429 0.524
```

## Properties
- formation energy from the elements (meV per atom) = 207
- energy above the most stable polymorph in this dataset (eV/atom) = 0.057
- density (Mg/m³) = 7.916
- Fermi-level density of states (states/eV/f.u.) = 13.58
- E (eV for the cell shown) = -37.02



This record from the Alexandria database describes Sr2CuBr after structural relaxation. The functional is PBE.

Geometry as CIF:
```
data_Sr2CuBr
_cell_length_a 7.556
_cell_length_b 4.361
_cell_length_c 8.499
_cell_angle_alpha 90.00
_cell_angle_beta 107.15
_cell_angle_gamma 90.00
_symmetry_space_group_name_H-M 'C 1 2/m 1'
_symmetry_Int_Tables_number 12
loop_
_symmetry_equiv_pos_as_xyz
'x,y,z'
'-x,-y,-z'
'-x,y,-z'
'x,-y,z'
'x+1/2,y+1/2,z'
'-x+1/2,-y+1/2,-z'
'-x+1/2,y+1/2,-z'
'x+1/2,-y+1/2,z'
loop_
_atom_site_label
_atom_site_type_symbol
_atom_site_fract_x
_atom_site_fract_y
_atom_site_fract_z
Sr1 Sr 0.238 0.000 0.216
Cu1 Cu 0.000 0.500 0.000
Br1 Br 0.000 0.000 0.500
```

## Properties
- energy above the most stable polymorph in this dataset (eV/atom) = 0.000
- density (Mg/m³) = 3.956
- Fermi-level density of states (states/eV/f.u.) = 1.35
- E (eV for the cell shown) = -24.39
- ΔE_f (raw) (eV/f.u.) = -3.06